Computed, not measured: a relaxed structure of Ac2Zn5Rh5 at the PBE level of DFT.

Calculated values
DFT formation energy = -52.12 kJ per mole of atoms

a = 3.9937 Å, b = 5.7574 Å, c = 9.5249 Å
α = 90.00°, β = 90.00°, γ = 90.00°
Space group Pmmm (No. 47)
Symmetry-distinct sites (fractional):
Ac: 0.0000 0.0000 0.0000 [1 per cell]
Ac: 0.0000 0.5000 0.5000 [1 per cell]
Zn: 0.0000 0.0000 0.3306 [2 per cell]
Zn: 0.0000 0.5000 0.1677 [2 per cell]
Zn: 0.5000 0.0000 0.5000 [1 per cell]
Rh: 0.5000 0.2531 0.2585 [4 per cell]
Rh: 0.5000 0.5000 0.0000 [1 per cell]